# 1
DFT (GGA-PBE) results for an optimized crystal structure of HoZnAuO4.

Cell: 6.263 6.789 6.707 Å, 119.60 90.00 117.47°
Positions (direct):
Ho  0.500  0.000  0.000
Ho  0.500  0.000  0.500
O  0.265  0.530  0.714
O  0.320  0.090  0.795
O  0.735  0.470  0.684
O  0.735  0.470  0.286
O  0.769  0.090  0.795
O  0.680  0.910  0.205
O  0.231  0.910  0.205
O  0.265  0.530  0.316
Au  0.500  0.500  0.500
Au  0.000  0.500  0.500
Zn  0.892  0.784  0.142
Zn  0.108  0.216  0.858

Calculated total energy, eV/atom: -5.709
Crystal system: orthorhombic
Space-group type: No. 74
Uncorrected formation energy, eV per formula unit: -11.000

# 2
DFT (GGA-PBE) results for an optimized crystal structure of KTi5Cl12.

Cell: 8.333 8.333 8.333 Å, 109.38 110.69 108.36°
Last column: magnetic moment on the atom in μB.
Positions (direct):
Cl  0.337  0.659  0.995  -0.01
Cl  0.663  0.341  0.005  -0.01
Cl  0.179  0.357  0.177  -0.01
Cl  0.821  0.643  0.823  -0.01
Cl  0.815  0.155  0.660  -0.01
Cl  0.185  0.845  0.340  -0.01
Cl  0.495  0.155  0.340  -0.01
Cl  0.821  0.998  0.177  -0.01
Cl  0.179  0.002  0.823  -0.01
Cl  0.663  0.659  0.322  -0.01
Cl  0.337  0.341  0.678  -0.01
Cl  0.505  0.845  0.660  -0.01
Ti  0.000  0.000  0.000  1.61
Ti  0.500  0.867  0.367  0.60
Ti  0.363  0.363  0.000  0.71
Ti  0.637  0.637  0.000  0.71
Ti  0.500  0.133  0.633  0.60
K  0.000  0.500  0.500  0.00

Calculated total energy, eV/atom: -4.874
Crystal system: orthorhombic
Space-group type: No. 71
D(E_F), states/eV/atom: 0.33
Uncorrected formation energy, eV per formula unit: -24.995

# 3
DFT (GGA-PBE) results for an optimized crystal structure of Sc4CdIn2Ag.

Cell: 4.986 4.986 8.640 Å, 73.23 73.23 60.00°
Positions (direct):
Sc  0.873  0.873  0.380
Sc  0.377  0.377  0.869
Sc  0.127  0.127  0.620
Sc  0.623  0.623  0.131
In  0.251  0.251  0.248
In  0.749  0.749  0.752
Cd  0.000  0.000  0.000
Ag  0.500  0.500  0.500

Calculated total energy, eV/atom: -4.696
Crystal system: trigonal
Space-group type: No. 166
D(E_F), states/eV/atom: 0.92

# 4
DFT (GGA-PBE) results for an optimized crystal structure of TbPr4Sm2Ho2.

Cell: 5.150 8.147 8.111 Å, 107.57 90.00 108.42°
Positions (direct):
Sm  0.888  0.777  0.330
Sm  0.112  0.223  0.670
Pr  0.554  0.109  0.330
Pr  0.222  0.445  0.330
Pr  0.778  0.555  0.670
Pr  0.446  0.891  0.670
Tb  0.000  0.000  0.000
Ho  0.667  0.335  0.000
Ho  0.333  0.665  0.000

Calculated total energy, eV/atom: -4.684
Crystal system: monoclinic
Space-group type: No. 12
D(E_F), states/eV/atom: 1.60

# 5
DFT (GGA-PBE) results for an optimized crystal structure of Li2NpCdO6.

Cell: 6.104 7.352 7.352 Å, 75.57 70.76 70.76°
Last column: magnetic moment on the atom in μB.
Positions (direct):
Li  0.144  0.358  0.229  0.00
Li  0.644  0.229  0.358  0.00
Li  0.856  0.642  0.771  0.00
Li  0.356  0.771  0.642  0.00
O  0.277  0.289  0.457  0.13
O  0.610  0.168  0.639  0.11
O  0.705  0.790  0.988  0.09
O  0.890  0.361  0.832  0.11
O  0.223  0.543  0.711  0.13
O  0.205  0.988  0.790  0.09
O  0.777  0.457  0.289  0.13
O  0.795  0.012  0.210  0.09
O  0.110  0.639  0.168  0.11
O  0.295  0.210  0.012  0.09
O  0.390  0.832  0.361  0.11
O  0.723  0.711  0.543  0.13
Np  0.750  0.733  0.267  -0.01
Np  0.250  0.267  0.733  -0.01
Cd  0.750  0.103  0.897  0.02
Cd  0.250  0.897  0.103  0.02

Calculated total energy, eV/atom: -6.600
Crystal system: monoclinic
Space-group type: No. 15
D(E_F), states/eV/atom: 0.81
Uncorrected formation energy, eV per formula unit: -18.569

# 6
DFT (GGA-PBE) results for an optimized crystal structure of Be2PtW.

Cell: 4.619 4.619 4.264 Å, 72.59 72.59 33.95°
Positions (direct):
W  0.263  0.263  0.198
Be  0.732  0.732  0.729
Be  0.022  0.022  0.015
Pt  0.483  0.483  0.558

Calculated total energy, eV/atom: -6.731
Crystal system: monoclinic
Space-group type: No. 8
D(E_F), states/eV/atom: 0.43

# 7
DFT (GGA-PBE) results for an optimized crystal structure of ScNi2P.

Cell: 4.513 4.513 3.793 Å, 90.00 90.00 132.98°
Positions (direct):
Sc  0.599  0.401  0.500
Ni  0.315  0.685  0.500
Ni  0.898  0.102  0.000
P  0.187  0.813  0.000

Calculated total energy, eV/atom: -6.452
Crystal system: orthorhombic
Space-group type: No. 38
D(E_F), states/eV/atom: 0.62

# 8
DFT (GGA-PBE) results for an optimized crystal structure of ScGaCl.

Cell: 3.634 3.633 12.071 Å, 90.32 81.34 60.00°
Positions (direct):
Ga  0.375  0.811  0.438
Ga  0.625  0.189  0.562
Cl  0.763  0.625  0.850
Cl  0.237  0.375  0.150
Sc  0.815  0.088  0.281
Sc  0.185  0.912  0.719

Calculated total energy, eV/atom: -4.894
Crystal system: monoclinic
Space-group type: No. 12
D(E_F), states/eV/atom: 0.54
Uncorrected formation energy, eV per formula unit: -3.478

# 9
DFT (GGA-PBE) results for an optimized crystal structure of TbY4Tm15.

Cell: 4.959 4.959 24.810 Å, 90.00 90.00 90.00°
Positions (direct):
Y  0.000  0.000  0.600
Y  0.000  0.000  0.200
Y  0.000  0.000  0.400
Y  0.000  0.000  0.800
Tm  0.500  0.500  0.600
Tm  0.500  0.000  0.300
Tm  0.000  0.500  0.300
Tm  0.000  0.500  0.700
Tm  0.500  0.000  0.900
Tm  0.500  0.500  0.200
Tm  0.500  0.000  0.500
Tm  0.500  0.500  0.000
Tm  0.000  0.500  0.100
Tm  0.000  0.500  0.500
Tm  0.000  0.500  0.900
Tm  0.500  0.000  0.100
Tm  0.500  0.500  0.400
Tm  0.500  0.500  0.800
Tm  0.500  0.000  0.700
Tb  0.000  0.000  0.000

Calculated total energy, eV/atom: -4.849
Crystal system: tetragonal
Space-group type: No. 123
D(E_F), states/eV/atom: 1.40

# 10
DFT (GGA-PBE) results for an optimized crystal structure of BaZr3Fe.

Cell: 5.218 5.218 5.218 Å, 90.00 90.00 90.00°
Last column: magnetic moment on the atom in μB.
Positions (direct):
Zr  0.500  0.000  0.000  -0.19
Zr  0.000  0.000  0.500  -0.12
Zr  0.000  0.500  0.000  -0.20
Fe  0.500  0.500  0.500  -0.18
Ba  0.000  0.000  0.000  -0.06

Calculated total energy, eV/atom: -4.801
Crystal system: cubic
Space-group type: No. 221
D(E_F), states/eV/atom: 2.60

# 11
DFT (GGA-PBE) results for an optimized crystal structure of SrFeAs2.

Cell: 7.186 7.186 6.245 Å, 54.88 54.88 90.00°
Last column: magnetic moment on the atom in μB.
Positions (direct):
Sr  0.750  0.250  0.500  0.01
Sr  0.000  0.000  0.000  0.01
As  0.375  0.475  0.750  -0.04
As  0.875  0.775  0.750  -0.04
As  0.525  0.125  0.250  -0.03
As  0.225  0.625  0.250  -0.03
Fe  0.500  0.500  0.000  1.13
Fe  0.250  0.750  0.500  1.14

Calculated total energy, eV/atom: -5.227
Crystal system: tetragonal
Space-group type: No. 122
D(E_F), states/eV/atom: 0.93

# 12
DFT (GGA-PBE) results for an optimized crystal structure of BeVSe.

Cell: 3.198 3.309 9.149 Å, 100.06 91.71 90.00°
Positions (direct):
Se  0.025  0.892  0.294
Se  0.975  0.108  0.706
Be  0.005  0.777  0.057
Be  0.995  0.223  0.943
V  0.512  0.319  0.144
V  0.488  0.681  0.856

Calculated total energy, eV/atom: -5.813
Crystal system: triclinic
Space-group type: No. 2
D(E_F), states/eV/atom: 0.78
Uncorrected formation energy, eV per formula unit: -1.110

# 13
DFT (GGA-PBE) results for an optimized crystal structure of Ta2HgPd2.

Cell: 8.075 8.075 2.826 Å, 90.00 90.00 90.00°
Positions (direct):
Pd  0.330  0.170  0.500
Pd  0.170  0.670  0.500
Pd  0.830  0.330  0.500
Pd  0.670  0.830  0.500
Ta  0.379  0.879  0.000
Ta  0.121  0.379  0.000
Ta  0.621  0.121  0.000
Ta  0.879  0.621  0.000
Hg  0.500  0.500  0.000
Hg  0.000  0.000  0.000

Calculated total energy, eV/atom: -6.823
Crystal system: tetragonal
Space-group type: No. 127
D(E_F), states/eV/atom: 0.49

# 14
DFT (GGA-PBE) results for an optimized crystal structure of LiDyNp2S6.

Cell: 6.650 6.132 6.132 Å, 90.00 90.00 90.00°
Last column: magnetic moment on the atom in μB.
Positions (direct):
S  0.176  0.000  0.000  -0.11
S  0.755  0.760  0.240  -0.16
S  0.755  0.240  0.240  -0.16
S  0.166  0.500  0.500  -0.07
S  0.755  0.240  0.760  -0.16
S  0.755  0.760  0.760  -0.16
Np  0.992  0.500  0.000  3.49
Np  0.992  0.000  0.500  3.49
Li  0.537  0.000  0.000  0.00
Dy  0.564  0.500  0.500  -0.08

Calculated total energy, eV/atom: -6.821
Crystal system: tetragonal
Space-group type: No. 99
D(E_F), states/eV/atom: 1.45
Uncorrected formation energy, eV per formula unit: -11.052

# 15
DFT (GGA-PBE) results for an optimized crystal structure of KSc2AgSe4.

Cell: 4.023 7.122 14.430 Å, 90.00 90.00 106.40°
Positions (direct):
Se  0.000  0.000  0.500
Se  0.260  0.520  0.096
Se  0.740  0.480  0.596
Se  0.000  0.000  0.000
Se  0.548  0.097  0.250
Se  0.260  0.520  0.404
Se  0.740  0.480  0.904
Se  0.452  0.903  0.750
Ag  0.834  0.668  0.750
Ag  0.166  0.332  0.250
Sc  0.372  0.744  0.930
Sc  0.628  0.256  0.070
Sc  0.372  0.744  0.570
Sc  0.628  0.256  0.430
K  0.874  0.747  0.250
K  0.126  0.253  0.750

Calculated total energy, eV/atom: -5.100
Crystal system: orthorhombic
Space-group type: No. 63
Uncorrected formation energy, eV per formula unit: -10.251

# 16
DFT (GGA-PBE) results for an optimized crystal structure of K2ZnTe2.

Cell: 8.719 8.719 8.719 Å, 132.29 130.18 71.45°
Positions (direct):
Te  0.700  0.893  0.807
Te  0.300  0.107  0.193
Te  0.913  0.607  0.307
Te  0.087  0.393  0.693
Zn  0.000  0.750  0.750
Zn  0.000  0.250  0.250
K  0.543  0.359  0.183
K  0.457  0.641  0.817
K  0.824  0.141  0.683
K  0.176  0.859  0.317

Calculated total energy, eV/atom: -2.828
Crystal system: orthorhombic
Space-group type: No. 72
D(E_F), states/eV/atom: 0.00
Uncorrected formation energy, eV per formula unit: -4.389

# 17
DFT (GGA-PBE) results for an optimized crystal structure of K3In.

Cell: 6.480 6.480 6.480 Å, 60.00 60.00 60.00°
Last column: magnetic moment on the atom in μB.
Positions (direct):
In  0.000  0.000  0.000  0.08
K  0.750  0.750  0.750  0.01
K  0.500  0.500  0.500  0.01
K  0.250  0.250  0.250  0.01

Calculated total energy, eV/atom: -1.457
Crystal system: cubic
Space-group type: No. 225
D(E_F), states/eV/atom: 1.11

# 18
DFT (GGA-PBE) results for an optimized crystal structure of MoPb.

Cell: 3.234 5.165 4.845 Å, 90.00 90.00 90.00°
Positions (direct):
Pb  0.500  0.000  0.517
Pb  0.000  0.500  0.316
Mo  0.500  0.500  0.828
Mo  0.000  0.000  0.006

Calculated total energy, eV/atom: -6.451
Crystal system: orthorhombic
Space-group type: No. 59
D(E_F), states/eV/atom: 0.68

# 19
DFT (GGA-PBE) results for an optimized crystal structure of NaSm2SeO5.

Cell: 6.726 6.726 7.699 Å, 115.90 115.90 90.00°
Last column: magnetic moment on the atom in μB.
Positions (direct):
O  0.017  0.517  0.762  0.07
O  0.483  0.255  0.238  0.07
O  0.255  0.755  0.238  0.07
O  0.745  0.245  0.762  0.07
O  0.000  0.000  0.000  0.00
O  0.245  0.017  0.762  0.07
O  0.517  0.745  0.762  0.07
O  0.500  0.500  0.000  0.00
O  0.983  0.483  0.238  0.07
O  0.755  0.983  0.238  0.07
Na  0.750  0.750  0.500  0.00
Na  0.250  0.250  0.500  0.00
Se  0.750  0.250  0.500  0.32
Se  0.250  0.750  0.500  0.32
Sm  0.325  0.825  0.000  0.03
Sm  0.175  0.325  0.000  0.03
Sm  0.825  0.675  0.000  0.03
Sm  0.675  0.175  0.000  0.03

Calculated total energy, eV/atom: -6.364
Crystal system: tetragonal
Space-group type: No. 140
D(E_F), states/eV/atom: 0.25
Uncorrected formation energy, eV per formula unit: -18.247

# 20
DFT (GGA-PBE) results for an optimized crystal structure of ZnCr2Si.

Cell: 3.018 3.018 5.453 Å, 90.00 90.00 90.00°
Positions (direct):
Zn  0.500  0.500  0.753
Si  0.000  0.000  0.488
Cr  0.000  0.000  0.019
Cr  0.500  0.500  0.240

Calculated total energy, eV/atom: -6.445
Crystal system: tetragonal
Space-group type: No. 99
D(E_F), states/eV/atom: 0.63
Uncorrected formation energy, eV per formula unit: 0.164